1.
## TmThGa (PBE)

Data for crystalline TmThGa at its relaxed geometry.

abc: 4.9638 4.9638 4.9638
angles: 60.00 60.00 60.00
Closest atoms and distances in Å follow each position.
Sites, in units of the cell vectors:
Tm 0.0000 0.0000 0.0000  4 Ga 3.04
Th 0.5000 0.5000 0.5000  4 Ga 3.04
Ga 0.7500 0.7500 0.7500  4 Th 3.04, 4 Tm 3.04

Results
Its relative energy among the computed polymorphs is 0 meV per atom. Its crystal system is cubic.

=====

2.
## GdHoPt (PBE)

Data for crystalline GdHoPt at its relaxed geometry.

abc: 7.1624 4.7784 8.7849
angles: 90.00 90.00 90.00
Closest atoms and distances in Å follow each position.
Sites, in units of the cell vectors:
Gd 0.0095 0.2500 0.1700  3 Pt 2.85-3.08
Gd 0.4905 0.7500 0.6700  3 Pt 2.85-3.08
Gd 0.5095 0.2500 0.3300  3 Pt 2.85-3.08
Gd 0.9905 0.7500 0.8300  3 Pt 2.85-3.08
Ho 0.1435 0.2500 0.5805  4 Pt 2.86-2.97
Ho 0.3565 0.7500 0.0805  4 Pt 2.86-2.97
Ho 0.6435 0.2500 0.9195  4 Pt 2.86-2.97
Ho 0.8565 0.7500 0.4195  4 Pt 2.86-2.97
Pt 0.2451 0.2500 0.9084  3 Gd 2.85-3.08, 4 Ho 2.86-2.97
Pt 0.2549 0.7500 0.4084  3 Gd 2.85-3.08, 4 Ho 2.86-2.97
Pt 0.7451 0.2500 0.5916  3 Gd 2.85-3.08, 4 Ho 2.86-2.97
Pt 0.7549 0.7500 0.0916  3 Gd 2.85-3.08, 4 Ho 2.86-2.97

Results
Its relative energy among the computed polymorphs is 0 meV per atom. For the energy of formation from the pure elements, the calculation gives -0.947 eV per atom. Its crystal system is orthorhombic.

=====

3.
## DyEr2Al3AgPt2 (PBE)

Data for crystalline DyEr2Al3AgPt2 at its relaxed geometry.

abc: 3.8815 7.3361 7.3361
angles: 120.12 90.00 90.00
Closest atoms and distances in Å follow each position.
Sites, in units of the cell vectors:
Dy 0.0000 0.0000 0.0000  4 Pt 2.95, 1 Ag 3.04, 6 Al 3.08-3.29
Er 0.0000 0.1722 0.5864  4 Pt 2.93, 1 Ag 3.03, 4 Al 3.08-3.28
Er 0.0000 0.5864 0.1722  4 Pt 2.93, 1 Ag 3.03, 4 Al 3.08-3.28
Al 0.5000 0.3270 0.3270  2 Ag 2.71, 2 Pt 2.77
Al 0.5000 0.5852 0.8453  2 Ag 2.72, 2 Pt 2.74-2.76
Al 0.5000 0.8453 0.5852  2 Ag 2.72, 2 Pt 2.74-2.76
Ag 0.0000 0.5847 0.5847  6 Al 2.71-2.72
Pt 0.5000 0.2543 0.9188  3 Al 2.74-2.77, 4 Er 2.93, 2 Dy 2.95
Pt 0.5000 0.9188 0.2543  3 Al 2.74-2.77, 4 Er 2.93, 2 Dy 2.95

Results
The total energy is -5.3168 eV/atom. Its crystal system is orthorhombic.

=====

4.
## Dy2HoIn3Cu3 (PBE)

Data for crystalline Dy2HoIn3Cu3 at its relaxed geometry.

abc: 3.8527 7.5363 7.5363
angles: 119.98 90.00 90.00
Closest atoms and distances in Å follow each position.
Sites, in units of the cell vectors:
Dy 0.0000 0.2040 0.7960  5 Cu 2.99-3.08, 6 In 3.17-3.31
Dy 0.0000 0.7960 0.2040  5 Cu 2.99-3.08, 6 In 3.17-3.31
Ho 0.0000 0.3884 0.3884  5 Cu 2.98-3.07, 6 In 3.17-3.31
In 0.5000 0.0537 0.0537  4 Cu 2.74-2.84
In 0.5000 0.5384 0.7957  4 Cu 2.73-2.85
In 0.5000 0.7957 0.5384  4 Cu 2.73-2.85
Cu 0.0000 0.7957 0.7957  6 In 2.73-2.74
Cu 0.5000 0.1300 0.4623  3 In 2.84-2.85, 2 Ho 2.98, 4 Dy 2.99
Cu 0.5000 0.4623 0.1300  3 In 2.84-2.85, 2 Ho 2.98, 4 Dy 2.99

Results
The total energy is -4.1010 eV/atom. Its crystal system is orthorhombic.

=====

5.
## Y3Er2ScCuTe2 (PBE)

Data for crystalline Y3Er2ScCuTe2 at its relaxed geometry.

abc: 3.9507 8.2368 8.2368
angles: 119.51 90.00 90.00
Closest atoms and distances in Å follow each position.
Sites, in units of the cell vectors:
Y 0.0000 0.0000 0.0000  4 Te 3.16, 1 Cu 3.49, 2 Sc 3.52, 4 Er 3.53
Y 0.0000 0.1946 0.5912  4 Te 3.20-3.24, 1 Cu 3.22, 2 Sc 3.46, 4 Er 3.50-3.59
Y 0.0000 0.5912 0.1946  4 Te 3.20-3.24, 1 Cu 3.22, 2 Sc 3.46, 4 Er 3.50-3.59
Er 0.5000 0.5939 0.8327  2 Cu 2.83
Er 0.5000 0.8327 0.5939  2 Cu 2.83
Sc 0.5000 0.3509 0.3509  2 Cu 2.74
Cu 0.0000 0.5792 0.5792  2 Sc 2.74, 4 Er 2.83
Te 0.5000 0.2596 0.9302  1 Sc 3.16, 6 Y 3.16-3.24, 2 Er 3.23
Te 0.5000 0.9302 0.2596  1 Sc 3.16, 6 Y 3.16-3.24, 2 Er 3.23

Results
The total energy is -5.6473 eV/atom. Its crystal system is orthorhombic.

=====

6.
## Tb2AlGaPd4 (PBE)

Data for crystalline Tb2AlGaPd4 at its relaxed geometry.

abc: 4.3977 4.3977 9.1389
angles: 90.00 90.00 120.00
Closest atoms and distances in Å follow each position.
Sites, in units of the cell vectors:
Tb 0.3333 0.6667 0.2513  8 Pd 2.97-3.02
Tb 0.6667 0.3333 0.7487  8 Pd 2.97-3.02
Al 0.0000 0.0000 0.0000  6 Pd 2.64
Ga 0.0000 0.0000 0.5000  6 Pd 2.64
Pd 0.3333 0.6667 0.5808  3 Ga 2.64, 3 Pd 2.94
Pd 0.3333 0.6667 0.9214  3 Al 2.64, 3 Pd 2.92
Pd 0.6667 0.3333 0.0786  3 Al 2.64, 3 Pd 2.92
Pd 0.6667 0.3333 0.4192  3 Ga 2.64, 3 Pd 2.94

Results
The total energy is -5.5083 eV/atom. Its crystal system is trigonal.

=====

7.
## CuTcNiPb (PBE)

Data for crystalline CuTcNiPb at its relaxed geometry.

abc: 4.4491 4.4491 4.4491
angles: 60.00 60.00 60.00
Closest atoms and distances in Å follow each position.
Sites, in units of the cell vectors:
Cu 0.0000 0.0000 0.0000  4 Pb 2.72, 4 Tc 2.72
Tc 0.2500 0.2500 0.2500  4 Ni 2.72, 4 Cu 2.72
Ni 0.5000 0.5000 0.5000  4 Pb 2.72, 4 Tc 2.72
Pb 0.7500 0.7500 0.7500  4 Cu 2.72, 4 Ni 2.72

Results
Its relative energy among the computed polymorphs is 0 meV per atom. Its crystal system is cubic.

=====

8.
## GdEr2Al3Si2Pd (PBE)

Data for crystalline GdEr2Al3Si2Pd at its relaxed geometry.

abc: 4.2446 6.8757 6.8757
angles: 120.10 90.00 90.00
Closest atoms and distances in Å follow each position.
Sites, in units of the cell vectors:
Gd 0.0000 0.0000 0.0000  1 Pd 2.90, 4 Si 2.98, 2 Al 3.17
Er 0.0000 0.4175 0.8354  1 Pd 2.85, 4 Si 2.95, 2 Al 3.17
Er 0.0000 0.8354 0.4175  1 Pd 2.85, 4 Si 2.95, 2 Al 3.17
Al 0.5000 0.1796 0.4195  2 Si 2.64-2.69, 2 Pd 2.69, 2 Al 2.84-2.86
Al 0.5000 0.4195 0.1796  2 Si 2.64-2.69, 2 Pd 2.69, 2 Al 2.84-2.86
Al 0.5000 0.6568 0.6568  2 Pd 2.66, 2 Si 2.69, 2 Al 2.84
Si 0.5000 0.0862 0.7486  3 Al 2.64-2.69, 4 Er 2.95
Si 0.5000 0.7486 0.0862  3 Al 2.64-2.69, 4 Er 2.95
Pd 0.0000 0.4229 0.4229  6 Al 2.66-2.69, 2 Er 2.85, 1 Gd 2.90

Results
The total energy is -5.3550 eV/atom. Its crystal system is orthorhombic.

=====

9.
## SmCo2GeP (PBE)

Data for crystalline SmCo2GeP at its relaxed geometry.

abc: 5.6453 5.6453 5.6453
angles: 138.94 138.94 59.47
Closest atoms and distances in Å follow each position.
Sites, in units of the cell vectors:
Sm 0.0000 0.0000 0.0000  8 Co 3.07-3.23, 4 Ge 3.08, 4 P 3.09
Co 0.2398 0.7398 0.5000  2 P 2.24, 2 Ge 2.36
Co 0.7398 0.2398 0.5000  2 P 2.24, 2 Ge 2.36
Ge 0.3700 0.3700 0.0000  4 Co 2.36, 1 P 2.58
P 0.6335 0.6335 0.0000  4 Co 2.24

Results
The total energy is -6.6102 eV/atom. Its crystal system is tetragonal.

=====

10.
## Pr5SmBr3 (PBE)

Data for crystalline Pr5SmBr3 at its relaxed geometry.

abc: 8.1293 8.1293 5.7648
angles: 90.00 90.00 120.00
Closest atoms and distances in Å follow each position.
Sites, in units of the cell vectors:
Pr 0.0000 0.2317 0.0000  2 Br 3.13, 4 Pr 3.20-3.26, 2 Sm 3.44
Pr 0.2317 0.0000 0.0000  2 Br 3.13, 4 Pr 3.20-3.26, 2 Sm 3.44
Pr 0.3333 0.6667 0.0000  3 Pr 3.20
Pr 0.6667 0.3333 0.0000  3 Pr 3.20
Pr 0.7683 0.7683 0.0000  2 Br 3.13, 4 Pr 3.20-3.26, 2 Sm 3.44
Sm 0.0000 0.0000 0.5000  3 Br 3.09, 6 Pr 3.44
Br 0.0000 0.3803 0.5000  1 Sm 3.09, 2 Pr 3.13
Br 0.3803 0.0000 0.5000  1 Sm 3.09, 2 Pr 3.13
Br 0.6197 0.6197 0.5000  1 Sm 3.09, 2 Pr 3.13

Results
The total energy is -3.8767 eV/atom. Its crystal system is hexagonal.

=====

11.
## CuSiIrOs (PBE)

Data for crystalline CuSiIrOs at its relaxed geometry.

abc: 4.2613 4.2613 4.2613
angles: 60.00 60.00 60.00
Closest atoms and distances in Å follow each position.
Sites, in units of the cell vectors:
Cu 0.0000 0.0000 0.0000  4 Ir 2.61, 4 Si 2.61
Si 0.7500 0.7500 0.7500  4 Os 2.61, 4 Cu 2.61
Ir 0.2500 0.2500 0.2500  4 Os 2.61, 4 Cu 2.61
Os 0.5000 0.5000 0.5000  4 Si 2.61, 4 Ir 2.61

Results
Its relative energy among the computed polymorphs is 0 meV per atom. Its crystal system is cubic.

=====

12.
## AgBr (PBE)

Data for crystalline AgBr at its relaxed geometry.

abc: 14.6708 14.6708 14.6708
angles: 17.45 17.45 17.45
Closest atoms and distances in Å follow each position.
Sites, in units of the cell vectors:
Ag 0.0000 0.0000 0.0000  4 Br 2.72-2.73
Ag 0.1667 0.1667 0.1667  4 Br 2.72-2.73
Ag 0.4166 0.4166 0.4166  4 Br 2.72-2.73
Ag 0.5834 0.5834 0.5834  4 Br 2.72-2.73
Br 0.1036 0.1036 0.1036  4 Ag 2.72-2.73
Br 0.3536 0.3536 0.3536  4 Ag 2.72-2.73
Br 0.5203 0.5203 0.5203  4 Ag 2.72-2.73
Br 0.9369 0.9369 0.9369  4 Ag 2.72-2.73

Results
The total energy is -2.6023 eV/atom. Its crystal system is trigonal.